An optimized crystal structure of EuPuRuRh, computed with GGA-PBE.

abc: 4.8565 4.8565 4.8565
angles: 60.00 60.00 60.00
Closest atoms and distances in Å follow each position.
Positions (direct):
1 Eu 0.0000 0.0000 0.0000  4 Ru 2.97, 4 Rh 2.97
2 Pu 0.5000 0.5000 0.5000  4 Rh 2.97, 4 Ru 2.97
3 Ru 0.7500 0.7500 0.7500  4 Pu 2.97, 4 Eu 2.97
4 Rh 0.2500 0.2500 0.2500  4 Pu 2.97, 4 Eu 2.97

Summary:
SG = F-43m
Raw total energy = -10.47 eV per atom
Energy of formation = -0.160 eV per atom
Volume = 20.25 A^3/atom

***

An optimized crystal structure of CrGa4, computed with GGA-PBE.

abc: 4.9001 4.9001 4.9001
angles: 109.47 109.47 109.47
Closest atoms and distances in Å follow each position.
Positions (direct):
1 Cr 0.0000 0.0000 0.0000  8 Ga 2.45
2 Ga 0.0000 0.0000 0.5000  2 Cr 2.45
3 Ga 0.0000 0.5000 0.0000  2 Cr 2.45
4 Ga 0.5000 0.0000 0.0000  2 Cr 2.45
5 Ga 0.5000 0.5000 0.5000  2 Cr 2.45

Summary:
Polymorph energy (0 for the lowest one) = 0 meV/atom
SG = Im-3m
Raw total energy = -4.51 eV per atom
Energy of formation = -0.162 eV per atom
Volume = 18.11 A^3/atom

***

An optimized crystal structure of CsAgBr2, computed with GGA-PBE.

abc: 7.3389 7.3389 7.3389
angles: 110.46 110.46 107.52
Closest atoms and distances in Å follow each position.
Positions (direct):
1 Cs 0.0000 0.0000 0.0000  4 Br 3.66
2 Cs 0.7500 0.2500 0.5000  4 Br 3.66
3 Ag 0.2500 0.7500 0.5000  4 Br 2.73
4 Ag 0.5000 0.5000 0.0000  4 Br 2.73
5 Br 0.2100 0.1250 0.5850  2 Ag 2.73
6 Br 0.3750 0.7900 0.9150  2 Ag 2.73
7 Br 0.5400 0.6250 0.4150  2 Ag 2.73
8 Br 0.8750 0.4600 0.0850  2 Ag 2.73

Summary:
Polymorph energy (0 for the lowest one) = 21 meV/atom
SG = I-42d
Raw total energy = -2.82 eV per atom
Energy relative to the elements, uncorrected = -1.057 eV/atom
Volume = 38.00 A^3/atom